# meta-GGA SCAN CoI2O6, single point on PBEsol structure
# * E: -266.8 eV/cell
# * uncorrected formation energy: -0.5817 eV per atom
data_CoI2O6
_chemical_formula_sum 'Co2 I4 O12'
_cell_length_a 5.4037
_cell_length_b 4.9648
_cell_length_c 9.2796
_cell_angle_alpha 90.00
_cell_angle_beta 90.15
_cell_angle_gamma 90.00
_symmetry_space_group_name_H-M 'P 1 21 1'
_symmetry_Int_Tables_number 4
_symmetry_space_group_name_Hall 'P 2yb'
loop_
_atom_site_label
_atom_site_type_symbol
_atom_site_fract_x
_atom_site_fract_y
_atom_site_fract_z
Co1 Co 0.2326 0.0000 0.2464
I1 I 0.2616 0.4440 0.5678
I2 I 0.2677 0.9227 0.9015
O1 O 0.0237 0.7615 0.3789
O2 O 0.0874 0.7140 0.7706
O3 O 0.1395 0.7832 0.0706
O4 O 0.3500 0.2165 0.4166
O5 O 0.4402 0.2224 0.1017
O6 O 0.4659 0.2777 0.7022